[1]
A geometry-optimized PmTl2Cu2Te4 structure. Source: Alexandria, functional PBE.

Unit cell a=4.2390 b=8.6042 c=8.2026 alpha=108.01 beta=104.97 gamma=90.00
Fractional positions:
Pm  0.0000  0.0000  0.0000
Tl  0.1309  0.5504  0.2619
Tl  0.8691  0.4496  0.7381
Cu  0.6837  0.9930  0.3674
Cu  0.3163  0.0070  0.6326
Te  0.2069  0.1878  0.4139
Te  0.7931  0.8122  0.5861
Te  0.5278  0.7538  0.0557
Te  0.4722  0.2462  0.9443

Output
- Uncorrected formation energy: -539.6 meV/atom
- Fermi-level density of states: 3.69 states/eV/f.u.
- DFT total energy: -3.90 eV per atom
- Magnetization: 0.000 μB per atom
- ρ: 7.22 g/cm3

=====

[2]
A geometry-optimized MgAg4Sb structure. Source: Alexandria, functional PBE.

Unit cell a=5.5815 b=5.5815 c=5.5815 alpha=60.00 beta=60.00 gamma=60.00
Fractional positions:
Ag  0.1265  0.6245  0.6245
Ag  0.6245  0.6245  0.6245
Ag  0.6245  0.1265  0.6245
Ag  0.6245  0.6245  0.1265
Mg  0.2500  0.2500  0.2500
Sb  0.0000  0.0000  0.0000

Output
- Uncorrected formation energy: 1.8 meV/atom
- Fermi-level density of states: 3.53 states/eV/f.u.
- DFT total energy: -2.85 eV per atom
- Magnetization: 0.000 μB per atom
- ρ: 7.80 g/cm3

=====

[3]
A geometry-optimized GaCuF2 structure. Source: Alexandria, functional PBE.

Unit cell a=7.2991 b=7.2991 c=7.2991 alpha=22.90 beta=22.90 gamma=22.90
Fractional positions:
Cu  0.5000  0.5000  0.5000
Ga  0.0000  0.0000  0.0000
F  0.9002  0.9002  0.9002
F  0.0998  0.0998  0.0998

Output
- Uncorrected formation energy: -1174.4 meV/atom
- Fermi-level density of states: 0.48 states/eV/f.u.
- DFT total energy: -3.89 eV per atom
- Magnetization: 0.000 μB per atom
- ρ: 5.50 g/cm3

=====

[4]
A geometry-optimized AcLa4Ir2 structure. Source: Alexandria, functional PBE.

Unit cell a=6.8119 b=8.1195 c=10.1054 alpha=113.60 beta=109.59 gamma=90.25
Fractional positions:
Ac  0.2142  0.0130  0.0285
Ac  0.4357  0.7345  0.4715
Ir  0.2950  0.3706  0.7408
Ir  0.8042  0.3797  0.7592
Ir  0.5343  0.3742  0.2488
Ir  0.5356  0.8754  0.2512
La  0.4359  0.2344  0.4700
La  0.8154  0.6281  0.2534
La  0.8120  0.1247  0.2466
La  0.9713  0.0642  0.6190
La  0.9736  0.5553  0.6192
La  0.2159  0.5143  0.0300
La  0.6045  0.6862  0.8808
La  0.6024  0.1953  0.8810

Output
- Fermi-level density of states: 8.36 states/eV/f.u.
- DFT total energy: -6.38 eV per atom
- Magnetization: 0.000 μB per atom
- ρ: 8.14 g/cm3

=====

[5]
A geometry-optimized NbAlS2 structure. Source: Alexandria, functional PBE.

Unit cell a=8.2885 b=8.2885 c=8.2885 alpha=22.57 beta=22.57 gamma=22.57
Fractional positions:
Nb  0.5000  0.5000  0.5000
S  0.9009  0.9009  0.9009
S  0.0991  0.0991  0.0991
Al  0.0000  0.0000  0.0000

Output
- Uncorrected formation energy: -690.4 meV/atom
- Fermi-level density of states: 0.23 states/eV/f.u.
- DFT total energy: -6.21 eV per atom
- Magnetization: 0.000 μB per atom
- ρ: 4.15 g/cm3

=====

[6]
A geometry-optimized Ag2Hg2I7 structure. Source: Alexandria, functional PBE.

Unit cell a=8.3078 b=8.3078 c=15.4748 alpha=103.95 beta=103.95 gamma=98.78
Fractional positions:
Ag  0.2083  0.1139  0.1987
Ag  0.1139  0.2083  0.6987
Ag  0.8861  0.7917  0.3013
Ag  0.7917  0.8861  0.8013
Hg  0.3387  0.8065  0.5326
Hg  0.1935  0.6613  0.9674
Hg  0.8065  0.3387  0.0326
Hg  0.6613  0.1935  0.4674
I  0.0745  0.5897  0.3805
I  0.1507  0.3415  0.0746
I  0.4698  0.3501  0.3547
I  0.9151  0.0849  0.2500
I  0.5897  0.0745  0.8805
I  0.3415  0.1507  0.5746
I  0.3501  0.4698  0.8547
I  0.6499  0.5302  0.1453
I  0.6585  0.8493  0.4254
I  0.4103  0.9255  0.1195
I  0.0849  0.9151  0.7500
I  0.5302  0.6499  0.6453
I  0.8493  0.6585  0.9254
I  0.9255  0.4103  0.6195

Output
- Uncorrected formation energy: -183.9 meV/atom
- Fermi-level density of states: 8.41 states/eV/f.u.
- DFT total energy: -1.74 eV per atom
- Magnetization: 0.000 μB per atom
- ρ: 5.10 g/cm3

=====

[7]
A geometry-optimized SnHgPtRh structure. Source: Alexandria, functional PBE.

Unit cell a=4.6594 b=4.6594 c=4.6594 alpha=60.00 beta=60.00 gamma=60.00
Fractional positions:
Rh  0.7500  0.7500  0.7500
Hg  0.0000  0.0000  0.0000
Pt  0.2500  0.2500  0.2500
Sn  0.5000  0.5000  0.5000

Output
- Fermi-level density of states: 5.08 states/eV/f.u.
- DFT total energy: -4.54 eV per atom
- Magnetization: 0.000 μB per atom
- ρ: 14.33 g/cm3

=====

[8]
A geometry-optimized Cr2Ni5Rh12 structure. Source: Alexandria, functional PBE.

Unit cell a=5.4375 b=7.2389 c=7.4343 alpha=76.18 beta=90.00 gamma=112.06
Site moments in Bohr magnetons follow the coordinates.
Fractional positions:
Cr  0.6904  0.0000  0.0000  -0.04
Cr  0.3096  0.0000  0.0000  -0.04
Ni  0.2170  0.4340  0.7799  0.32
Ni  0.3304  0.6608  0.2127  0.23
Ni  0.0000  0.0000  0.5000  0.03
Ni  0.6696  0.3392  0.7873  0.23
Ni  0.7830  0.5660  0.2201  0.32
Rh  0.9603  0.9207  0.2204  0.04
Rh  0.0758  0.6858  0.8975  0.09
Rh  0.6100  0.6858  0.8975  0.09
Rh  0.0921  0.6826  0.5302  0.12
Rh  0.5905  0.6826  0.5302  0.12
Rh  0.4943  0.9886  0.6834  0.07
Rh  0.5057  0.0114  0.3166  0.07
Rh  0.9079  0.3174  0.4698  0.12
Rh  0.4095  0.3174  0.4698  0.12
Rh  0.9242  0.3142  0.1025  0.09
Rh  0.3900  0.3142  0.1025  0.09
Rh  0.0397  0.0793  0.7796  0.04

Output
- Fermi-level density of states: 31.51 states/eV/f.u.
- DFT total energy: -6.95 eV per atom
- Magnetization: 0.108 μB per atom
- ρ: 10.34 g/cm3

=====

[9]
A geometry-optimized CdInB structure. Source: Alexandria, functional PBE.

Unit cell a=3.1581 b=6.3533 c=6.2616 alpha=94.57 beta=76.46 gamma=103.96
Fractional positions:
B  0.3552  0.9808  0.3515
B  0.8611  0.9816  0.3564
In  0.8180  0.8270  0.7501
In  0.1606  0.3558  0.5827
Cd  0.9853  0.6139  0.1838
Cd  0.3718  0.2176  0.0202

Output
- Fermi-level density of states: 0.92 states/eV/f.u.
- DFT total energy: -3.18 eV per atom
- Magnetization: 0.000 μB per atom
- ρ: 6.67 g/cm3

=====

[10]
A geometry-optimized HgSb2Te structure. Source: Alexandria, functional PBE.

Unit cell a=11.0917 b=11.0917 c=11.0917 alpha=17.64 beta=17.64 gamma=17.64
Fractional positions:
Hg  0.7500  0.7500  0.7500
Sb  0.0012  0.0012  0.0012
Sb  0.4988  0.4988  0.4988
Te  0.2500  0.2500  0.2500

Output
- Uncorrected formation energy: 301.8 meV/atom
- Fermi-level density of states: 3.06 states/eV/f.u.
- DFT total energy: -2.62 eV per atom
- Magnetization: 0.000 μB per atom
- ρ: 8.68 g/cm3

=====

[11]
A geometry-optimized Pm3TmB2N6 structure. Source: Alexandria, functional PBE.

Unit cell a=5.5781 b=5.5781 c=6.2681 alpha=90.00 beta=90.00 gamma=120.00
Fractional positions:
Pm  0.3333  0.6667  0.6611
Pm  0.6667  0.3333  0.3389
Pm  0.0000  0.0000  0.0000
Tm  0.0000  0.0000  0.5000
B  0.6667  0.3333  0.7518
B  0.3333  0.6667  0.2482
N  0.6327  0.8163  0.2752
N  0.1837  0.3673  0.2752
N  0.1837  0.8163  0.2752
N  0.8163  0.6327  0.7248
N  0.3673  0.1837  0.7248
N  0.8163  0.1837  0.7248

Output
- Uncorrected formation energy: -1210.1 meV/atom
- Fermi-level density of states: 0.34 states/eV/f.u.
- DFT total energy: -8.05 eV per atom
- Magnetization: 0.000 μB per atom
- ρ: 6.98 g/cm3

=====

> Fermi-level density of states of number 2 (MgAg4Sb)?

3.53 states/eV/f.u.

=====

> Look up the DFT total energy of the first one.

-3.90 eV per atom